AcLaSm2Ho | the Alexandria database | PBE | relaxed; electronic total energy = -4.268 eV/atom; magnetic moment = 0.0 μB/f.u.; ΔH_f (0 K) = 0.342 eV/atom; crystal system = orthorhombic
1.0
-6.591 -3.145 0.691
3.733 -7.297 2.396
-2.107 5.421 4.577
Ac La Sm Ho
2 2 4 2
Cartesian
0.103 -3.577 4.165
-5.067 -1.444 3.499
-1.654 -0.744 0.311
-3.311 -4.277 7.353
-2.124 -3.861 1.097
2.562 -5.008 1.644
-0.733 -6.581 1.990
1.171 -2.289 0.751
-3.178 -5.260 4.151
-1.787 0.239 3.513

***

BaSc2Hg2 | the Alexandria database | PBE | relaxed; electronic total energy = -3.157 eV/atom; magnetic moment = 1.2 μB/f.u.; E above lowest polymorph = 111.9 meV/atom; ΔH_f (0 K) = -0.119 eV/atom; crystal system = tetragonal
1.0
-1.661 4.861 -1.433
-4.641 -2.065 -1.625
-5.261 2.166 3.521
Sc Hg Ba
2 2 1
Cartesian
-3.789 1.630 -0.003
-7.774 3.332 0.465
-5.036 4.213 0.279
-6.526 0.750 0.183
0.000 0.000 0.000

***

KLi2PPt | the Alexandria database | PBE | relaxed; electronic total energy = -3.711 eV/atom; magnetic moment = 0.0 μB/f.u.; E above lowest polymorph = 0.0 meV/atom; ΔH_f (0 K) = -0.436 eV/atom; crystal system = tetragonal
1.0
4.845 0.000 0.000
0.000 4.845 0.000
0.000 0.000 4.593
P K Pt Li
1 1 1 2
Cartesian
0.000 0.000 0.000
2.423 2.423 2.296
0.000 0.000 2.296
0.000 2.423 0.000
2.423 0.000 0.000

***

V3Pt2Rh3 | the Alexandria database | PBE | relaxed; electronic total energy = -8.116 eV/atom; magnetic moment = 0.0 μB/f.u.; E above lowest polymorph = 40.2 meV/atom; ΔH_f (0 K) = -0.430 eV/atom; crystal system = orthorhombic
1.0
-2.600 2.707 -0.214
-2.679 -2.644 -0.895
1.041 -0.970 8.110
V Pt Rh
3 2 3
Cartesian
-0.394 -0.231 1.861
-1.339 -1.322 -0.447
-3.844 -0.675 5.140
-2.089 0.890 3.624
-2.148 -1.797 3.377
-3.024 -0.194 1.265
-1.213 -0.712 5.736
-1.300 1.353 -0.107

***

Sr2TcPb | the Alexandria database | PBE | relaxed; electronic total energy = -3.893 eV/atom; magnetic moment = 2.5 μB/f.u.; ΔH_f (0 K) = 0.467 eV/atom; crystal system = orthorhombic
1.0
5.618 0.566 0.000
-0.703 5.603 0.000
0.000 0.000 3.824
Pb Sr Tc
1 2 1
Cartesian
-0.351 2.801 1.912
0.000 0.000 0.000
2.458 3.085 0.000
2.809 0.283 1.912

***

CoSb2P6 | the Alexandria database | PBE | relaxed; energy relative to the elements, uncorrected = 5.0 eV/f.u.; electronic total energy = -4.759 eV/atom; magnetic moment = 0.0 μB/f.u.; crystal system = tetragonal
1.0
-5.103 0.374 2.604
2.269 -2.253 4.769
2.733 10.806 3.804
Sb Co P
4 2 12
Cartesian
0.919 3.633 1.279
0.868 8.097 6.868
-0.970 0.830 4.310
1.814 7.173 2.525
0.000 0.000 0.000
-0.051 4.464 5.589
-0.772 -0.512 2.008
-2.063 -1.367 5.365
1.957 3.748 6.178
-2.059 5.179 4.999
0.036 3.212 3.776
-0.933 2.570 6.295
3.345 7.429 7.650
-1.509 9.158 6.225
1.407 -0.231 4.953
-3.446 1.498 3.528
0.831 6.357 4.883
-0.137 5.715 7.402

***

Cs2Ce2SnS6 | the Alexandria database | PBE | relaxed; energy relative to the elements, uncorrected = -16.0 eV/f.u.; electronic total energy = -5.301 eV/atom; magnetic moment = 0.3 μB/f.u.; crystal system = monoclinic
1.0
-1.362 -7.100 0.095
6.822 2.393 0.100
-1.865 1.603 8.064
Cs Ce Sn S
2 2 1 6
Cartesian
-0.044 -5.571 0.096
5.504 0.864 0.099
3.154 0.021 4.130
0.441 -3.126 4.128
-0.932 0.801 4.032
2.601 -2.245 5.595
1.426 1.678 5.496
0.995 -0.859 2.664
-1.453 -1.661 5.494
2.170 -4.783 2.763
5.048 -1.443 2.765

***

KCoSnHg2 | the Alexandria database | PBE | relaxed; electronic total energy = -2.620 eV/atom; magnetic moment = 0.0 μB/f.u.; ΔH_f (0 K) = -0.058 eV/atom; crystal system = tetragonal
1.0
5.220 0.000 0.000
0.000 5.220 0.000
0.000 0.000 4.837
K Co Hg Sn
1 1 2 1
Cartesian
2.610 2.610 2.418
0.000 0.000 0.000
0.000 2.610 0.000
2.610 0.000 0.000
0.000 0.000 2.418

***

CaTaH | the Alexandria database | PBE | relaxed; electronic total energy = -5.694 eV/atom; magnetic moment = 0.0 μB/f.u.; E above lowest polymorph = 124.3 meV/atom; crystal system = monoclinic
1.0
-3.572 -0.106 -0.320
0.806 -4.646 -7.454
-0.082 -3.049 1.926
H Ca Ta
2 2 2
Cartesian
-1.256 -2.391 -0.031
-2.914 -3.777 -1.175
-3.028 -0.814 -0.872
-0.770 -5.201 -4.522
-1.072 -3.402 -1.746
-2.713 -2.514 -3.840

***

Rb2CdBiBr6 | the Alexandria database | PBE | relaxed; energy relative to the elements, uncorrected = -10.9 eV/f.u.; electronic total energy = -2.769 eV/atom; magnetic moment = 0.0 μB/f.u.; crystal system = tetragonal
1.0
8.194 0.000 0.000
0.000 8.194 0.000
4.097 4.097 5.770
Br Bi Rb Cd
6 1 2 1
Cartesian
4.097 4.097 2.852
8.194 8.194 2.917
2.057 2.057 0.000
6.136 6.136 0.000
6.136 2.057 0.000
2.057 6.136 0.000
0.000 0.000 0.000
8.194 4.097 2.885
4.097 8.194 2.885
4.097 4.097 0.000

***

Th3CoSbC | the Alexandria database | PBE | relaxed; energy relative to the elements, uncorrected = -3.0 eV/f.u.; electronic total energy = -7.612 eV/atom; magnetic moment = 0.4 μB/f.u.; crystal system = monoclinic
1.0
3.961 0.000 0.000
0.000 8.667 0.373
0.000 -2.973 8.260
Th Co Sb C
6 2 2 2
Cartesian
0.990 4.893 4.077
2.971 7.037 1.810
2.971 3.463 1.364
2.971 0.802 4.556
0.990 2.231 7.270
0.990 -1.343 6.823
0.990 -0.914 3.667
2.971 6.609 4.967
2.971 4.742 6.812
0.990 0.952 1.822
0.990 5.199 1.552
2.971 0.495 7.081

***

La2Sn2Ir | the Alexandria database | PBE | relaxed; electronic total energy = -6.138 eV/atom; magnetic moment = 0.0 μB/f.u.; E above lowest polymorph = 0.0 meV/atom; ΔH_f (0 K) = -0.793 eV/atom; crystal system = monoclinic
1.0
-4.608 0.345 -0.130
-2.413 -3.077 -4.822
-3.086 -7.878 6.285
La Sn Ir
4 4 2
Cartesian
-4.904 -3.409 0.379
-7.621 -7.319 4.124
-5.203 -7.201 0.953
-2.486 -3.291 -2.792
-2.757 -4.961 2.347
-7.693 -9.307 1.399
-7.350 -5.649 -1.015
-2.414 -1.304 -0.068
-5.148 -5.478 3.561
-4.959 -5.132 -2.229